Entry 1:
Density functional theory data (PBE) for a relaxed ScTe3 crystal.

- Energy relative to the elements, uncorrected: -0.42 eV per formula unit
- E_tot: -4.05 eV per atom
- Density: 6.47 Mg/m³
- Density of states at the Fermi level: 0.711 states/eV per atom

a = 4.7883 Å, b = 4.7883 Å, c = 4.7883 Å
α = 90.00°, β = 90.00°, γ = 90.00°
With the nearest neighbours (Å) after each atom.
Positions (direct):
1 Sc 0.0000 0.0000 0.0000  12 Te 3.39
2 Te 0.0000 0.5000 0.5000  8 Te 3.39, 4 Sc 3.39
3 Te 0.5000 0.0000 0.5000  8 Te 3.39, 4 Sc 3.39
4 Te 0.5000 0.5000 0.0000  8 Te 3.39, 4 Sc 3.39

Entry 2:
Density functional theory data (PBE) for a relaxed ScTe3 crystal.

- Energy relative to the elements, uncorrected: -2.01 eV per formula unit
- E_tot: -4.44 eV per atom
- Density: 5.58 Mg/m³
- Density of states at the Fermi level: 0.529 states/eV per atom

a = 7.0587 Å, b = 7.0587 Å, c = 7.0587 Å
α = 146.88°, β = 138.22°, γ = 54.32°
With the nearest neighbours (Å) after each atom.
Positions (direct):
1 Sc 0.5000 0.0000 0.5000  8 Te 2.91-3.22
2 Te 0.3325 0.3325 0.0000  2 Sc 2.91
3 Te 0.6675 0.6675 0.0000  2 Sc 2.91
4 Te 0.0000 0.5000 0.5000  4 Sc 3.22, 4 Te 3.28

Entry 3:
Density functional theory data (PBE) for a relaxed ScTe2 crystal.

- Energy relative to the elements, uncorrected: -2.04 eV per formula unit
- E_tot: -4.89 eV per atom
- Density: 6.33 Mg/m³
- Density of states at the Fermi level: 0.597 states/eV per atom

a = 8.0599 Å, b = 8.0599 Å, c = 5.3272 Å
α = 90.00°, β = 90.00°, γ = 152.92°
With the nearest neighbours (Å) after each atom.
Positions (direct):
1 Sc 0.0933 0.9067 0.2500  8 Te 3.03-3.31
2 Sc 0.9067 0.0933 0.7500  8 Te 3.03-3.31
3 Te 0.4401 0.5599 0.2500  6 Sc 3.05-3.31, 2 Te 3.26
4 Te 0.5599 0.4401 0.7500  6 Sc 3.05-3.31, 2 Te 3.26
5 Te 0.7442 0.2558 0.2500  2 Sc 3.03, 4 Te 3.27
6 Te 0.2558 0.7442 0.7500  2 Sc 3.03, 4 Te 3.27

Entry 4:
Density functional theory data (PBE) for a relaxed Sc8Te3 crystal.

- Energy relative to the elements, uncorrected: -7.41 eV per formula unit
- E_tot: -6.13 eV per atom
- Density: 4.66 Mg/m³
- Density of states at the Fermi level: 0.982 states/eV per atom

a = 14.6740 Å, b = 14.6740 Å, c = 22.4666 Å
α = 57.68°, β = 57.68°, γ = 15.07°
With the nearest neighbours (Å) after each atom.
Positions (direct):
1 Sc 0.4083 0.4083 0.4105  2 Te 3.00, 8 Sc 3.13-3.35
2 Sc 0.5917 0.5917 0.5895  2 Te 3.00, 8 Sc 3.13-3.35
3 Sc 0.2766 0.2766 0.6028  4 Te 2.97, 4 Sc 3.25-3.30
4 Sc 0.7234 0.7234 0.3972  4 Te 2.97, 4 Sc 3.25-3.30
5 Sc 0.3030 0.3030 0.7541  4 Te 2.97-3.00, 4 Sc 3.13-3.30
6 Sc 0.6970 0.6970 0.2459  4 Te 2.97-3.00, 4 Sc 3.13-3.30
7 Sc 0.4252 0.4252 0.5696  4 Te 2.95-2.99, 4 Sc 3.15-3.23
8 Sc 0.5748 0.5748 0.4304  4 Te 2.95-2.99, 4 Sc 3.15-3.23
9 Sc 0.4378 0.4378 0.0531  3 Te 2.91-2.96, 3 Sc 3.08-3.18
10 Sc 0.5622 0.5622 0.9469  3 Te 2.91-2.96, 3 Sc 3.08-3.18
11 Sc 0.0080 0.0080 0.0871  4 Te 2.94-3.13, 4 Sc 3.18-3.28
12 Sc 0.9920 0.9920 0.9129  4 Te 2.94-3.13, 4 Sc 3.18-3.28
13 Sc 0.9385 0.9385 0.2847  3 Te 2.96-2.99, 2 Sc 3.13
14 Sc 0.0615 0.0615 0.7153  3 Te 2.96-2.99, 2 Sc 3.13
15 Sc 0.7986 0.7986 0.4706  1 Te 2.99, 8 Sc 3.07-3.33
16 Sc 0.2014 0.2014 0.5294  1 Te 2.99, 8 Sc 3.07-3.33
17 Sc 0.7131 0.7131 0.8666  3 Te 2.92, 5 Sc 3.13-3.27
18 Sc 0.2869 0.2869 0.1334  3 Te 2.92, 5 Sc 3.13-3.27
19 Sc 0.6713 0.6713 0.6553  2 Te 3.04-3.07, 7 Sc 3.13-3.35
20 Sc 0.3287 0.3287 0.3447  2 Te 3.04-3.07, 7 Sc 3.13-3.35
21 Sc 0.6333 0.6333 0.0624  4 Te 2.98-3.01, 4 Sc 3.28-3.29
22 Sc 0.3667 0.3667 0.9376  4 Te 2.98-3.01, 4 Sc 3.28-3.29
23 Sc 0.4617 0.4617 0.7142  4 Te 2.99-3.01, 1 Sc 3.27
24 Sc 0.5383 0.5383 0.2858  4 Te 2.99-3.01, 1 Sc 3.27
25 Sc 0.8322 0.8322 0.8489  2 Te 3.01-3.07, 7 Sc 3.16-3.30
26 Sc 0.1678 0.1678 0.1511  2 Te 3.01-3.07, 7 Sc 3.16-3.30
27 Sc 0.1508 0.1508 0.8102  5 Te 2.97-3.12
28 Sc 0.8492 0.8492 0.1898  5 Te 2.97-3.12
29 Sc 0.2381 0.2381 0.9592  8 Sc 2.98-3.28, 1 Te 3.11
30 Sc 0.7619 0.7619 0.0408  8 Sc 2.98-3.28, 1 Te 3.11
31 Sc 0.9882 0.9882 0.4330  2 Te 2.95-2.98, 6 Sc 3.15-3.26
32 Sc 0.0118 0.0118 0.5670  2 Te 2.95-2.98, 6 Sc 3.15-3.26
33 Te 0.7405 0.7405 0.7209  8 Sc 2.92-3.07
34 Te 0.2595 0.2595 0.2791  8 Sc 2.92-3.07
35 Te 0.8955 0.8955 0.6867  8 Sc 2.97-3.07
36 Te 0.1045 0.1045 0.3133  8 Sc 2.97-3.07
37 Te 0.0562 0.0562 0.1732  7 Sc 2.94-3.01
38 Te 0.9438 0.9438 0.8268  7 Sc 2.94-3.01
39 Te 0.4256 0.4256 0.1926  8 Sc 2.96-3.04
40 Te 0.5744 0.5744 0.8074  8 Sc 2.96-3.04
41 Te 0.8697 0.8697 0.0384  9 Sc 2.91-3.13
42 Te 0.1303 0.1303 0.9616  9 Sc 2.91-3.13
43 Te 0.8686 0.8686 0.5309  8 Sc 2.95-3.00
44 Te 0.1314 0.1314 0.4691  8 Sc 2.95-3.00

Entry 5:
Density functional theory data (PBE) for a relaxed ScTe3 crystal.

- Energy relative to the elements, uncorrected: -0.83 eV per formula unit
- E_tot: -4.15 eV per atom
- Density: 6.71 Mg/m³
- Density of states at the Fermi level: 1.076 states/eV per atom

a = 5.3111 Å, b = 5.3111 Å, c = 5.3111 Å
α = 60.00°, β = 60.00°, γ = 60.00°
With the nearest neighbours (Å) after each atom.
Positions (direct):
1 Sc 0.0000 0.0000 0.0000  8 Te 3.25
2 Te 0.2500 0.2500 0.2500  4 Te 3.25, 4 Sc 3.25
3 Te 0.5000 0.5000 0.5000  8 Te 3.25
4 Te 0.7500 0.7500 0.7500  4 Te 3.25, 4 Sc 3.25

Entry 6:
Density functional theory data (PBE) for a relaxed ScTe3 crystal.

- Energy relative to the elements, uncorrected: 0.68 eV per formula unit
- E_tot: -3.77 eV per atom
- Density: 2.46 Mg/m³
- Density of states at the Fermi level: 1.118 states/eV per atom

a = 13.4263 Å, b = 13.4263 Å, c = 3.6987 Å
α = 90.00°, β = 90.00°, γ = 120.00°
With the nearest neighbours (Å) after each atom.
Positions (direct):
1 Sc 0.3333 0.6667 0.7500  3 Te 2.74
2 Sc 0.6667 0.3333 0.2500  3 Te 2.74
3 Te 0.5488 0.0976 0.2500  1 Sc 2.74, 2 Te 2.93
4 Te 0.9024 0.4512 0.2500  1 Sc 2.74, 2 Te 2.93
5 Te 0.5488 0.4512 0.2500  1 Sc 2.74, 2 Te 2.93
6 Te 0.4512 0.9024 0.7500  1 Sc 2.74, 2 Te 2.93
7 Te 0.0976 0.5488 0.7500  1 Sc 2.74, 2 Te 2.93
8 Te 0.4512 0.5488 0.7500  1 Sc 2.74, 2 Te 2.93

Entry 7:
Density functional theory data (PBE) for a relaxed ScTe crystal.

- Energy relative to the elements, uncorrected: -1.74 eV per formula unit
- E_tot: -5.61 eV per atom
- Density: 3.99 Mg/m³
- Density of states at the Fermi level: 0.873 states/eV per atom

a = 10.5504 Å, b = 10.5504 Å, c = 4.4693 Å
α = 90.00°, β = 90.00°, γ = 120.00°
With the nearest neighbours (Å) after each atom.
Positions (direct):
1 Sc 0.6562 0.1458 0.2500  4 Te 2.89-2.90
2 Sc 0.5104 0.6562 0.7500  4 Te 2.89-2.90
3 Sc 0.8542 0.5104 0.2500  4 Te 2.89-2.90
4 Sc 0.3438 0.8542 0.7500  4 Te 2.89-2.90
5 Sc 0.4896 0.3438 0.2500  4 Te 2.89-2.90
6 Sc 0.1458 0.4896 0.7500  4 Te 2.89-2.90
7 Te 0.9733 0.3148 0.2500  4 Sc 2.89-2.90
8 Te 0.6585 0.9733 0.7500  4 Sc 2.89-2.90
9 Te 0.6852 0.6585 0.2500  4 Sc 2.89-2.90
10 Te 0.0267 0.6852 0.7500  4 Sc 2.89-2.90
11 Te 0.3415 0.0267 0.2500  4 Sc 2.89-2.90
12 Te 0.3148 0.3415 0.7500  4 Sc 2.89-2.90

Entry 8:
Density functional theory data (PBE) for a relaxed ScTe2 crystal.

- Energy relative to the elements, uncorrected: -2.74 eV per formula unit
- E_tot: -5.12 eV per atom
- Density: 5.52 Mg/m³
- Density of states at the Fermi level: 0.014 states/eV per atom

a = 5.6906 Å, b = 5.6906 Å, c = 8.5290 Å
α = 81.63°, β = 81.63°, γ = 41.47°
With the nearest neighbours (Å) after each atom.
Positions (direct):
1 Sc 0.0771 0.0771 0.9898  7 Te 2.94-3.07
2 Sc 0.3009 0.3009 0.3241  6 Te 2.86-3.15
3 Te 0.6239 0.6239 0.7360  1 Te 2.84, 2 Sc 2.94
4 Te 0.6006 0.6006 0.2548  5 Sc 3.06-3.15
5 Te 0.8665 0.8665 0.5430  1 Te 2.84, 2 Sc 2.90
6 Te 0.3643 0.3643 0.9856  4 Sc 2.86-3.05

Entry 9:
Density functional theory data (PBE) for a relaxed ScTe2 crystal.

- Energy relative to the elements, uncorrected: -2.50 eV per formula unit
- E_tot: -5.04 eV per atom
- Density: 6.28 Mg/m³
- Density of states at the Fermi level: 0.801 states/eV per atom

a = 5.9094 Å, b = 5.9094 Å, c = 5.9094 Å
α = 110.44°, β = 110.44°, γ = 107.56°
With the nearest neighbours (Å) after each atom.
Positions (direct):
1 Sc 0.7500 0.7500 0.0000  8 Te 3.08
2 Sc 0.2500 0.2500 0.0000  8 Te 3.08
3 Te 0.3405 0.1595 0.5000  1 Te 3.04, 4 Sc 3.08
4 Te 0.6595 0.8405 0.5000  1 Te 3.04, 4 Sc 3.08
5 Te 0.1595 0.6595 0.8190  1 Te 3.04, 4 Sc 3.08
6 Te 0.8405 0.3405 0.1810  1 Te 3.04, 4 Sc 3.08

Entry 10:
Density functional theory data (PBE) for a relaxed ScTe2 crystal.

- Energy relative to the elements, uncorrected: -2.51 eV per formula unit
- E_tot: -5.04 eV per atom
- Density: 6.42 Mg/m³
- Density of states at the Fermi level: 0.613 states/eV per atom

a = 8.1615 Å, b = 8.1615 Å, c = 4.0371 Å
α = 90.00°, β = 90.00°, γ = 120.00°
With the nearest neighbours (Å) after each atom.
Positions (direct):
1 Sc 0.3333 0.6667 0.0000  9 Te 3.02-3.21
2 Sc 0.6667 0.3333 0.0000  9 Te 3.02-3.21
3 Sc 0.0000 0.0000 0.5000  9 Te 2.98-3.25
4 Te 0.2682 0.0000 0.0000  4 Sc 2.98-3.02
5 Te 0.0000 0.2682 0.0000  4 Sc 2.98-3.02
6 Te 0.7318 0.7318 0.0000  4 Sc 2.98-3.02
7 Te 0.6014 0.0000 0.5000  5 Sc 3.21-3.25, 6 Te 3.39-3.51
8 Te 0.0000 0.6014 0.5000  5 Sc 3.21-3.25, 6 Te 3.39-3.51
9 Te 0.3986 0.3986 0.5000  5 Sc 3.21-3.25, 6 Te 3.39-3.51